The following is a GGA+U calculation of a geometry-optimized ScCo2F structure, from the Alexandria database.

Unit cell a=3.2597 b=3.2597 c=10.7565 alpha=81.28 beta=81.28 gamma=90.00
With the nearest neighbours (Å) after each atom.
Fractional positions:
Sc  0.0000  0.0000  0.0000  4 F 2.30
Sc  0.7500  0.2500  0.5000  4 F 2.30
Co  0.6295  0.1250  0.2500  4 Co 2.28-2.33
Co  0.1205  0.6250  0.2500  4 Co 2.28-2.33
Co  0.3750  0.3705  0.7500  4 Co 2.28-2.33
Co  0.8750  0.8795  0.7500  4 Co 2.28-2.33
F  0.5000  0.5000  0.0000  4 Sc 2.30
F  0.2500  0.7500  0.5000  4 Sc 2.30

The distance to the lowest polymorph of the same formula is 0 meV per atom.